# 1
First-principles (PBE) data for crystalline Hg2SbMo at its relaxed geometry, as listed in Alexandria via LeMat-Bulk.

Cell and atoms, written as POSCAR:
```
Hg2SbMo
1.0
3.001 0.000 0.000
0.000 5.053 0.000
0.000 0.000 5.650
Hg Sb Mo
2 1 1
Cartesian
0.000 0.000 1.364
0.000 0.000 4.285
1.500 2.526 2.825
1.500 2.526 0.000
```



# 2
First-principles (PBE) data for crystalline HgSbMo2 at its relaxed geometry, as listed in Alexandria via LeMat-Bulk.

Cell and atoms, written as POSCAR:
```
HgSbMo2
1.0
5.145 -1.622 0.000
5.145 1.622 0.000
-1.815 0.000 4.697
Hg Sb Mo
1 1 2
Cartesian
0.000 0.000 0.000
1.053 0.000 3.030
3.735 0.000 2.138
7.512 0.000 0.812
```

Results
polymorph energy (0 for the lowest one): 0.82 eV/f.u.



# 3
First-principles (PBE) data for crystalline HgSb2Mo at its relaxed geometry, as listed in Alexandria via LeMat-Bulk.

Cell and atoms, written as POSCAR:
```
HgSb2Mo
1.0
4.910 0.000 0.000
0.000 4.910 0.000
0.000 0.000 3.582
Hg Sb Mo
1 2 1
Cartesian
0.000 0.000 0.000
0.000 2.455 1.791
2.455 0.000 1.791
2.455 2.455 0.000
```

Results
polymorph energy (0 for the lowest one): 1.89 eV/f.u.



# 4
First-principles (PBE) data for crystalline HgSb2Mo at its relaxed geometry, as listed in Alexandria via LeMat-Bulk.

Cell and atoms, written as POSCAR:
```
HgSb2Mo
1.0
-1.662 1.662 9.688
1.662 -1.662 9.688
1.662 1.662 -9.688
Hg Sb Mo
1 2 1
Cartesian
0.000 0.000 0.000
0.000 0.000 12.604
0.000 1.662 6.582
1.662 0.000 5.098
```

Results
polymorph energy (0 for the lowest one): 0.59 eV/f.u.



# 5
First-principles (PBE) data for crystalline HgSbMo2 at its relaxed geometry, as listed in Alexandria via LeMat-Bulk.

Cell and atoms, written as POSCAR:
```
HgSbMo2
1.0
0.000 3.311 3.311
3.311 0.000 3.311
3.311 3.311 0.000
Hg Sb Mo
1 1 2
Cartesian
0.000 0.000 0.000
3.311 3.311 3.311
1.655 1.655 1.655
4.966 4.966 4.966
```

Results
polymorph energy (0 for the lowest one): 1.22 eV/f.u.



# 6
First-principles (PBE) data for crystalline Hg2SbMo at its relaxed geometry, as listed in Alexandria via LeMat-Bulk.

Cell and atoms, written as POSCAR:
```
Hg2SbMo
1.0
2.848 -4.622 0.000
2.848 4.622 0.000
0.000 0.000 3.198
Hg Sb Mo
2 1 1
Cartesian
1.424 2.311 0.000
1.424 -2.311 0.000
0.000 0.000 1.599
2.848 0.000 1.599
```



# 7
First-principles (PBE) data for crystalline Hg2SbMo at its relaxed geometry, as listed in Alexandria via LeMat-Bulk.

Cell and atoms, written as POSCAR:
```
Hg2SbMo
1.0
3.118 0.000 0.000
0.000 3.118 0.000
0.000 0.000 9.670
Hg Sb Mo
2 1 1
Cartesian
0.000 0.000 0.000
1.559 1.559 2.626
1.559 1.559 6.456
0.000 0.000 4.582
```



# 8
First-principles (PBE) data for crystalline Hg2SbMo at its relaxed geometry, as listed in Alexandria via LeMat-Bulk.

Cell and atoms, written as POSCAR:
```
Hg2SbMo
1.0
4.146 0.000 0.000
0.000 4.146 0.000
0.000 0.000 4.995
Hg Sb Mo
2 1 1
Cartesian
0.000 2.073 0.000
2.073 0.000 0.000
0.000 0.000 2.497
2.073 2.073 2.497
```



# 9
First-principles (PBE) data for crystalline HgSb2Mo at its relaxed geometry, as listed in Alexandria via LeMat-Bulk.

Cell and atoms, written as POSCAR:
```
HgSb2Mo
1.0
3.100 0.000 0.000
0.000 4.373 0.000
0.000 0.000 8.124
Hg Sb Mo
1 2 1
Cartesian
0.000 0.000 0.000
0.000 0.000 2.939
1.550 2.187 6.172
1.550 2.187 3.564
```

Results
polymorph energy (0 for the lowest one): 1.18 eV/f.u.



# 10
First-principles (PBE) data for crystalline HgSb2Mo at its relaxed geometry, as listed in Alexandria via LeMat-Bulk.

Cell and atoms, written as POSCAR:
```
HgSb2Mo
1.0
1.794 -2.574 0.000
1.794 2.574 0.000
0.000 0.000 10.349
Hg Sb Mo
1 2 1
Cartesian
0.000 0.000 0.000
0.000 0.000 4.318
1.794 0.000 7.833
1.794 0.000 2.272
```

Results
polymorph energy (0 for the lowest one): 1.39 eV/f.u.



# 11
First-principles (PBE) data for crystalline HgSbMo2 at its relaxed geometry, as listed in Alexandria via LeMat-Bulk.

Cell and atoms, written as POSCAR:
```
HgSbMo2
1.0
3.150 0.000 0.000
0.000 4.237 0.000
-1.512 0.000 5.751
Hg Sb Mo
1 1 2
Cartesian
0.000 0.000 0.000
-0.756 0.000 2.875
0.055 2.119 4.464
1.583 2.119 1.287
```

Results
polymorph energy (0 for the lowest one): 1.40 eV/f.u.



# 12
First-principles (PBE) data for crystalline HgSbMo2 at its relaxed geometry, as listed in Alexandria via LeMat-Bulk.

Cell and atoms, written as POSCAR:
```
HgSbMo2
1.0
3.289 0.000 0.000
0.000 3.289 0.000
0.000 0.000 6.790
Hg Sb Mo
1 1 2
Cartesian
0.000 0.000 0.000
0.000 0.000 3.395
1.644 1.644 1.860
1.644 1.644 4.931
```

Results
polymorph energy (0 for the lowest one): 1.08 eV/f.u.



Calculated values (meV/atom) of energy relative to the elements, uncorrected for the records, taken in order: 658; 473; 593; 268; 573; 615; 361; 615; 417; 469; 618; 536.